1.
# LaBe2Pd2 (GGA-PBE, relaxed)
data_LaBe2Pd2
_cell_length_a 7.344
_cell_length_b 7.344
_cell_length_c 3.076
_cell_angle_alpha 90.00
_cell_angle_beta 90.00
_cell_angle_gamma 90.00
_space_group_name_H-M_alt 'P 4/m b m'
_space_group_IT_number 127
_space_group_name_Hall '-P 4 2ab'
loop_
_atom_site_label
_atom_site_type_symbol
_atom_site_fract_x
_atom_site_fract_y
_atom_site_fract_z
La1 La 0.000 0.000 0.000
Be1 Be 0.115 0.385 0.500
Pd1 Pd 0.140 0.640 0.000
# Electronic total energy ... -24.09 eV/f.u.
# Relative energy among the computed polymorphs ... 268.4 meV/atom
# Energy of formation from the pure elements ... -0.265 eV/atom
# Volume ... 166 Å³/cell

***

2.
# LaBePd (GGA-PBE, relaxed)
data_LaBePd
_cell_length_a 4.151
_cell_length_b 14.899
_cell_length_c 4.361
_cell_angle_alpha 90.00
_cell_angle_beta 90.00
_cell_angle_gamma 90.00
_space_group_name_H-M_alt 'C m c m'
_space_group_IT_number 63
_space_group_name_Hall '-C 2c 2'
loop_
_atom_site_label
_atom_site_type_symbol
_atom_site_fract_x
_atom_site_fract_y
_atom_site_fract_z
La1 La 0.000 0.147 0.250
Be1 Be 0.000 0.500 0.000
Pd1 Pd 0.000 0.364 0.250
# Electronic total energy ... -14.80 eV/f.u.
# Relative energy among the computed polymorphs ... 149.8 meV/atom
# Energy of formation from the pure elements ... -0.317 eV/atom
# Volume ... 270 Å³/cell

***

3.
# La2BePd6 (GGA-PBE, relaxed)
data_La2BePd6
_cell_length_a 10.356
_cell_length_b 6.068
_cell_length_c 6.135
_cell_angle_alpha 90.00
_cell_angle_beta 122.60
_cell_angle_gamma 90.00
_space_group_name_H-M_alt 'C 1 2/m 1'
_space_group_IT_number 12
loop_
_space_group_symop_operation_xyz
'x,y,z'
'-x,-y,-z'
'-x,y,-z'
'x,-y,z'
'x+1/2,y+1/2,z'
'-x+1/2,-y+1/2,-z'
'-x+1/2,y+1/2,-z'
'x+1/2,-y+1/2,z'
loop_
_atom_site_label
_atom_site_type_symbol
_atom_site_fract_x
_atom_site_fract_y
_atom_site_fract_z
La1 La 0.249 0.000 0.238
Be1 Be 0.000 0.500 0.000
Pd1 Pd 0.006 0.239 0.270
Pd2 Pd 0.238 0.000 0.727
# Electronic total energy ... -52.10 eV/f.u.
# Energy of formation from the pure elements ... -0.818 eV/atom
# Volume ... 325 Å³/cell

***

4.
# La2BePd5 (GGA-PBE, relaxed)
data_La2BePd5
_cell_length_a 6.031
_cell_length_b 6.031
_cell_length_c 8.695
_cell_angle_alpha 90.00
_cell_angle_beta 90.00
_cell_angle_gamma 90.00
_space_group_name_H-M_alt 'I 4 m m'
_space_group_IT_number 107
_space_group_name_Hall 'I 4 -2'
loop_
_atom_site_label
_atom_site_type_symbol
_atom_site_fract_x
_atom_site_fract_y
_atom_site_fract_z
La1 La 0.000 0.500 0.000
Be1 Be 0.000 0.000 0.263
Pd1 Pd 0.000 0.000 0.992
Pd2 Pd 0.236 0.236 0.749
# Electronic total energy ... -45.43 eV/f.u.
# Energy of formation from the pure elements ... -0.735 eV/atom
# Volume ... 316 Å³/cell

***

5.
# LaBe2Pd2 (GGA-PBE, relaxed)
data_LaBe2Pd2
_cell_length_a 4.113
_cell_length_b 4.113
_cell_length_c 9.858
_cell_angle_alpha 90.00
_cell_angle_beta 90.00
_cell_angle_gamma 90.00
_space_group_name_H-M_alt 'P 4/n m m'
_space_group_IT_number 129
loop_
_space_group_symop_operation_xyz
'x,y,z'
'-x,-y,-z'
'-y+1/2,x,z'
'y+1/2,-x,-z'
'-x+1/2,-y+1/2,z'
'x+1/2,y+1/2,-z'
'y,-x+1/2,z'
'-y,x+1/2,-z'
'x+1/2,-y,-z'
'-x+1/2,y,z'
'-y,-x,-z'
'y,x,z'
'-x,y+1/2,-z'
'x,-y+1/2,z'
'y+1/2,x+1/2,-z'
'-y+1/2,-x+1/2,z'
loop_
_atom_site_label
_atom_site_type_symbol
_atom_site_fract_x
_atom_site_fract_y
_atom_site_fract_z
La1 La 0.250 0.250 0.247
Be1 Be 0.250 0.250 0.618
Be2 Be 0.250 0.750 0.000
Pd1 Pd 0.250 0.250 0.880
Pd2 Pd 0.250 0.750 0.500
# Electronic total energy ... -25.43 eV/f.u.
# Relative energy among the computed polymorphs ... 0.0 meV/atom
# Energy of formation from the pure elements ... -0.533 eV/atom
# Volume ... 167 Å³/cell

***

6.
# LaBe3Pd (GGA-PBE, relaxed)
data_LaBe3Pd
_cell_length_a 4.793
_cell_length_b 4.793
_cell_length_c 4.793
_cell_angle_alpha 90.00
_cell_angle_beta 90.00
_cell_angle_gamma 90.00
_space_group_name_H-M_alt 'P m -3 m'
_space_group_IT_number 221
_space_group_name_Hall '-P 4 2 3'
loop_
_atom_site_label
_atom_site_type_symbol
_atom_site_fract_x
_atom_site_fract_y
_atom_site_fract_z
La1 La 0.000 0.000 0.000
Be1 Be 0.000 0.000 0.500
Pd1 Pd 0.500 0.500 0.500
# Electronic total energy ... -11.05 eV/f.u.
# Relative energy among the computed polymorphs ... 2183.3 meV/atom
# Energy of formation from the pure elements ... 2.050 eV/atom
# Volume ... 110 Å³/cell

***

7.
# LaBe2Pd2 (GGA-PBE, relaxed)
data_LaBe2Pd2
_cell_length_a 7.358
_cell_length_b 7.358
_cell_length_c 2.916
_cell_angle_alpha 90.00
_cell_angle_beta 90.00
_cell_angle_gamma 90.00
_space_group_name_H-M_alt 'P 4/m b m'
_space_group_IT_number 127
_space_group_name_Hall '-P 4 2ab'
loop_
_atom_site_label
_atom_site_type_symbol
_atom_site_fract_x
_atom_site_fract_y
_atom_site_fract_z
La1 La 0.000 0.000 0.000
Be1 Be 0.106 0.394 0.000
Pd1 Pd 0.166 0.666 0.500
# Electronic total energy ... -24.26 eV/f.u.
# Relative energy among the computed polymorphs ... 233.9 meV/atom
# Energy of formation from the pure elements ... -0.299 eV/atom
# Volume ... 158 Å³/cell

***

8.
# La2Be4PdPt3 (GGA-PBE, relaxed)
data_La2Be4PdPt3
_cell_length_a 4.109
_cell_length_b 4.109
_cell_length_c 9.806
_cell_angle_alpha 90.00
_cell_angle_beta 90.00
_cell_angle_gamma 90.00
_space_group_name_H-M_alt 'P -4 m 2'
_space_group_IT_number 115
loop_
_space_group_symop_operation_xyz
'x,y,z'
'y,-x,-z'
'-x,-y,z'
'-y,x,-z'
'-x,y,z'
'-y,-x,-z'
'x,-y,z'
'y,x,-z'
loop_
_atom_site_label
_atom_site_type_symbol
_atom_site_fract_x
_atom_site_fract_y
_atom_site_fract_z
La1 La 0.000 0.500 0.248
Be1 Be 0.000 0.000 0.000
Be2 Be 0.000 0.500 0.619
Be3 Be 0.500 0.500 0.000
Pd1 Pd 0.000 0.000 0.500
Pt1 Pt 0.000 0.500 0.876
Pt2 Pt 0.500 0.500 0.500
# Electronic total energy ... -55.88 eV/f.u.
# Energy of formation from the pure elements ... -0.781 eV/atom
# Volume ... 166 Å³/cell

***

9.
# LaBePdPt2 (GGA-PBE, relaxed)
data_LaBePdPt2
_cell_length_a 4.481
_cell_length_b 4.481
_cell_length_c 4.427
_cell_angle_alpha 90.00
_cell_angle_beta 90.00
_cell_angle_gamma 90.00
_space_group_name_H-M_alt 'P 4/m m m'
_space_group_IT_number 123
_space_group_name_Hall '-P 4 2'
loop_
_atom_site_label
_atom_site_type_symbol
_atom_site_fract_x
_atom_site_fract_y
_atom_site_fract_z
La1 La 0.000 0.000 0.000
Be1 Be 0.500 0.500 0.500
Pd1 Pd 0.500 0.500 0.000
Pt1 Pt 0.000 0.500 0.500
# Electronic total energy ... -29.97 eV/f.u.
# Energy of formation from the pure elements ... -0.809 eV/atom
# Volume ... 89 Å³/cell

***

10.
# La2Be3PdPt12 (GGA-PBE, relaxed)
data_La2Be3PdPt12
_cell_length_a 8.0097
_cell_length_b 8.0097
_cell_length_c 18.2348
_cell_angle_alpha 90.00
_cell_angle_beta 90.00
_cell_angle_gamma 120.00
_space_group_name_H-M_alt 'R -3 m'
_space_group_IT_number 166
_space_group_name_Hall '-R 3 2"'
loop_
_atom_site_label
_atom_site_type_symbol
_atom_site_fract_x
_atom_site_fract_y
_atom_site_fract_z
La1 La 0.0000 0.0000 0.1110
Be1 Be 0.0000 0.5000 0.0000
Pd1 Pd 0.0000 0.0000 0.5000
Pt1 Pt 0.0159 0.5079 0.8765
Pt2 Pt 0.0311 0.5155 0.3666
# Electronic total energy ... -105.19 eV/f.u.
# Energy of formation from the pure elements ... -0.360 eV/atom
# Volume ... 1013 Å³/cell

***

11.
# LaScBe2Pd5 (GGA-PBE, relaxed)
data_LaScBe2Pd5
_cell_length_a 4.337
_cell_length_b 4.337
_cell_length_c 7.898
_cell_angle_alpha 90.00
_cell_angle_beta 90.00
_cell_angle_gamma 90.00
_space_group_name_H-M_alt 'P 4/m m m'
_space_group_IT_number 123
_space_group_name_Hall '-P 4 2'
loop_
_atom_site_label
_atom_site_type_symbol
_atom_site_fract_x
_atom_site_fract_y
_atom_site_fract_z
La1 La 0.000 0.000 0.000
Sc1 Sc 0.000 0.000 0.500
Be1 Be 0.500 0.500 0.355
Pd1 Pd 0.000 0.500 0.272
Pd2 Pd 0.500 0.500 0.000
# Electronic total energy ... -50.40 eV/f.u.
# Energy of formation from the pure elements ... -0.636 eV/atom
# Volume ... 149 Å³/cell

***

12.
# La2BeSi4Pd3 (GGA-PBE, relaxed)
data_La2BeSi4Pd3
_cell_length_a 4.242
_cell_length_b 4.242
_cell_length_c 10.043
_cell_angle_alpha 90.00
_cell_angle_beta 90.00
_cell_angle_gamma 90.00
_space_group_name_H-M_alt 'P -4 m 2'
_space_group_IT_number 115
loop_
_space_group_symop_operation_xyz
'x,y,z'
'y,-x,-z'
'-x,-y,z'
'-y,x,-z'
'-x,y,z'
'-y,-x,-z'
'x,-y,z'
'y,x,-z'
loop_
_atom_site_label
_atom_site_type_symbol
_atom_site_fract_x
_atom_site_fract_y
_atom_site_fract_z
La1 La 0.000 0.500 0.248
Be1 Be 0.500 0.500 0.000
Si1 Si 0.000 0.000 0.500
Si2 Si 0.000 0.500 0.874
Si3 Si 0.500 0.500 0.500
Pd1 Pd 0.000 0.000 0.000
Pd2 Pd 0.000 0.500 0.624
# Electronic total energy ... -58.71 eV/f.u.
# E_form (uncorrected) ... -7.9 eV/f.u.
# Volume ... 181 Å³/cell

***

Number 1: magnetic moment 0.0 μB/f.u.. Number 2: magnetic moment 0.0 μB/f.u.. Number 3: magnetic moment 0.0 μB/f.u.. Number 4: magnetic moment 0.0 μB/f.u.. Number 5: magnetic moment 0.0 μB/f.u.. Number 6: magnetic moment 0.0 μB/f.u.. Number 7: magnetic moment 0.0 μB/f.u.. Number 8: magnetic moment 0.0 μB/f.u.. Number 9: magnetic moment 0.0 μB/f.u.. Number 10: magnetic moment 0.0 μB/f.u.. Number 11: magnetic moment 0.0 μB/f.u.. Number 12: magnetic moment 0.0 μB/f.u..